[1]
A geometry-optimized Mg2P2H12O13 structure, computed with PBE.

Structure (POSCAR):
```
Mg2P2H12O13
1.0
7.3288 0.0000 0.0000
0.0000 18.4088 0.0000
-6.9489 0.0000 7.6875
Mg P H O
8 8 48 52
Direct
0.0000 0.0000 0.0000 Mg
0.0000 0.0000 0.5000 Mg
0.0000 0.5000 0.0000 Mg
0.0000 0.5000 0.5000 Mg
0.3222 0.2434 0.0268 Mg
0.3222 0.2566 0.5268 Mg
0.6778 0.7434 0.4732 Mg
0.6778 0.7566 0.9732 Mg
0.1558 0.1034 0.3228 P
0.1558 0.3966 0.8228 P
0.4981 0.0963 0.6996 P
0.4981 0.4037 0.1996 P
0.5019 0.5963 0.8004 P
0.5019 0.9037 0.3004 P
0.8442 0.6034 0.1772 P
0.8442 0.8966 0.6772 P
0.0353 0.6173 0.8543 H
0.0353 0.8827 0.3543 H
0.0591 0.2111 0.1071 H
0.0591 0.2889 0.6071 H
0.0764 0.6719 0.5711 H
0.0764 0.8281 0.0711 H
0.1968 0.7293 0.3449 H
0.1968 0.7707 0.8449 H
0.2101 0.5106 0.3754 H
0.2101 0.9894 0.8754 H
0.2647 0.1093 0.9043 H
0.2647 0.3907 0.4043 H
0.2916 0.5783 0.9698 H
0.2916 0.9217 0.4698 H
0.3060 0.1633 0.8027 H
0.3060 0.3367 0.3027 H
0.3324 0.6464 0.1862 H
0.3324 0.8536 0.6862 H
0.3701 0.7352 0.0326 H
0.3701 0.7648 0.5326 H
0.3909 0.1308 0.2182 H
0.3909 0.3692 0.7182 H
0.4196 0.0024 0.0849 H
0.4196 0.4976 0.5849 H
0.5804 0.5024 0.4151 H
0.5804 0.9976 0.9151 H
0.6091 0.6308 0.2818 H
0.6091 0.8692 0.7818 H
0.6299 0.2352 0.4674 H
0.6299 0.2648 0.9674 H
0.6676 0.1464 0.3138 H
0.6676 0.3536 0.8138 H
0.6940 0.6633 0.6973 H
0.6940 0.8367 0.1973 H
0.7084 0.0783 0.5302 H
0.7084 0.4217 0.0302 H
0.7353 0.6093 0.5957 H
0.7353 0.8907 0.0957 H
0.7899 0.0106 0.1246 H
0.7899 0.4894 0.6246 H
0.8032 0.2293 0.1551 H
0.8032 0.2707 0.6551 H
0.9236 0.1719 0.9289 H
0.9236 0.3281 0.4289 H
0.9409 0.7111 0.3929 H
0.9409 0.7889 0.8929 H
0.9647 0.1173 0.6457 H
0.9647 0.3827 0.1457 H
0.0142 0.2174 0.9940 O
0.0142 0.2826 0.4940 O
0.0342 0.5628 0.1859 O
0.0342 0.9372 0.6859 O
0.1230 0.1867 0.3104 O
0.1230 0.3133 0.8104 O
0.1504 0.5868 0.9602 O
0.1504 0.9132 0.4602 O
0.1829 0.0750 0.1981 O
0.1829 0.4250 0.6981 O
0.2197 0.1578 0.8469 O
0.2197 0.3422 0.3469 O
0.2237 0.5873 0.6639 O
0.2237 0.9128 0.1639 O
0.2631 0.0218 0.9730 O
0.2631 0.4782 0.4730 O
0.3547 0.7451 0.9328 O
0.3547 0.7549 0.4328 O
0.3591 0.0367 0.7074 O
0.3591 0.4633 0.2074 O
0.4097 0.1727 0.6952 O
0.4097 0.3273 0.1952 O
0.4288 0.0864 0.5134 O
0.4288 0.4136 0.0134 O
0.4973 0.6679 0.2680 O
0.4973 0.8321 0.7680 O
0.5027 0.1679 0.2320 O
0.5027 0.3321 0.7320 O
0.5712 0.5864 0.9866 O
0.5712 0.9136 0.4866 O
0.5903 0.6727 0.8048 O
0.5903 0.8273 0.3048 O
0.6409 0.5367 0.7926 O
0.6409 0.9633 0.2926 O
0.6453 0.2451 0.5672 O
0.6453 0.2549 0.0672 O
0.7369 0.5218 0.5270 O
0.7369 0.9782 0.0270 O
0.7763 0.0872 0.8361 O
0.7763 0.4128 0.3361 O
0.7803 0.6578 0.6531 O
0.7803 0.8422 0.1531 O
0.8171 0.5750 0.3019 O
0.8171 0.9250 0.8019 O
0.8496 0.0868 0.5398 O
0.8496 0.4132 0.0398 O
0.8770 0.6867 0.1896 O
0.8770 0.8133 0.6896 O
0.9658 0.0628 0.3141 O
0.9658 0.4372 0.8141 O
0.9858 0.7174 0.5060 O
0.9858 0.7826 0.0060 O
```

Values from the calculation:
DFT total energy (eV per atom): -5.716
Spin magnetization (μB per formula unit): 0.000

[2]
A geometry-optimized Pu2NiPt structure, computed with PBE.

Structure (POSCAR):
```
Pu2NiPt
1.0
5.6657 0.0000 0.0000
0.0000 4.1304 0.0000
-2.7163 0.0000 7.2769
Pu Ni Pt
4 2 2
Direct
0.2073 0.2500 0.4315 Pu
0.2160 0.2500 0.9236 Pu
0.7840 0.7500 0.0764 Pu
0.7927 0.7500 0.5685 Pu
0.3421 0.7500 0.7079 Ni
0.6579 0.2500 0.2921 Ni
0.3436 0.7500 0.2126 Pt
0.6564 0.2500 0.7874 Pt
```

Values from the calculation:
Relative energy among the computed polymorphs (meV/atom): 0.0
DFT total energy (eV per atom): -10.568
Spin magnetization (μB per formula unit): 10.914

[3]
A geometry-optimized Li3PuBi2Se6 structure, computed with PBE.

Structure (POSCAR):
```
Li3PuBi2Se6
1.0
3.5823 -6.2161 0.0000
3.5823 6.2161 0.0000
-2.3724 0.0000 6.5937
Li Pu Bi Se
3 1 2 6
Direct
0.0000 0.0000 0.0000 Li
0.3214 0.6786 0.0000 Li
0.6786 0.3214 0.0000 Li
0.5000 0.5000 0.5000 Pu
0.1653 0.8347 0.5000 Bi
0.8347 0.1653 0.5000 Bi
0.0833 0.4132 0.2378 Se
0.2563 0.2563 0.7635 Se
0.4132 0.0833 0.2378 Se
0.5868 0.9167 0.7622 Se
0.7437 0.7437 0.2365 Se
0.9167 0.5868 0.7622 Se
```

Values from the calculation:
DFT total energy (eV per atom): -4.993
Spin magnetization (μB per formula unit): 5.000
Uncorrected formation energy (eV per atom): -0.9310

[4]
A geometry-optimized Li2TlHg structure, computed with PBE.

Structure (POSCAR):
```
Li2TlHg
1.0
5.2559 -1.6224 0.0000
5.2559 1.6224 0.0000
-1.2695 0.0000 4.7840
Li Tl Hg
2 1 1
Direct
0.0000 0.0000 0.0000 Li
0.2476 0.2476 0.6599 Li
0.7478 0.7478 0.1588 Tl
0.5150 0.5150 0.5228 Hg
```

Values from the calculation:
DFT total energy (eV per atom): -1.866
Spin magnetization (μB per formula unit): 0.000